Ba2Mg3Cd, optimized geometry, DFT GGA-PBE; E_form = -0.144 eV/atom; total moment = 0.00 μB/f.u.; energy = -10.41 eV for the cell shown; SG = C2/m, No. 12
1.0
5.682 -3.270 0.000
5.682 3.270 0.000
-3.762 0.000 5.349
Ba Mg Cd
2 3 1
Direct
0.126 0.126 0.374
0.874 0.874 0.626
0.000 0.500 0.000
0.500 0.000 0.000
0.500 0.500 0.500
0.500 0.500 0.000